## Nd3Ni2 (PBE)

Data for Nd3Ni2 after structural relaxation.

Cell lengths 3.874, 4.458, 7.509 Å; angles 107.27, 90.00, 90.00 degrees
Element x y z (fractional)
Nd: 0.000 0.850 0.700
Nd: 0.500 0.500 0.000
Nd: 0.000 0.150 0.300
Ni: 0.500 0.702 0.404
Ni: 0.500 0.298 0.596

Density of states at the Fermi level, states/eV/cell: 4.2
Excess energy over the best structure of this formula in the dataset, eV/atom: 0.0000
Crystal system: orthorhombic


## PrSmPdPb (PBE)

Data for PrSmPdPb after structural relaxation.

Cell lengths 5.367, 5.367, 5.367 Å; angles 60.00, 60.00, 60.00 degrees
Element x y z (fractional)
Pb: 0.250 0.250 0.250
Pr: 0.000 0.000 0.000
Pd: 0.750 0.750 0.750
Sm: 0.500 0.500 0.500

Final energy, eV/atom: -5.18
Density of states at the Fermi level, states/eV/cell: 2.0
Crystal system: cubic


## Ce3YPb5 (PBE)

Data for Ce3YPb5 after structural relaxation.

Cell lengths 6.657, 9.625, 9.625 Å; angles 120.00, 90.00, 90.00 degrees
Last column: magnetic moment on the atom in μB.
Element x y z (fractional)
Ce: 0.750 0.383 0.000  0.59
Ce: 0.750 0.617 0.617  0.59
Ce: 0.750 0.000 0.383  0.59
Ce: 0.250 0.617 0.000  0.59
Ce: 0.250 0.383 0.383  0.59
Ce: 0.250 0.000 0.617  0.59
Y: 0.000 0.000 0.000  -0.02
Y: 0.500 0.000 0.000  -0.02
Pb: 0.000 0.333 0.667  0.01
Pb: 0.500 0.667 0.333  0.01
Pb: 0.000 0.667 0.333  0.01
Pb: 0.500 0.333 0.667  0.01
Pb: 0.750 0.717 0.000  0.00
Pb: 0.750 0.283 0.283  0.00
Pb: 0.750 0.000 0.717  0.00
Pb: 0.250 0.283 0.000  0.00
Pb: 0.250 0.717 0.717  0.00
Pb: 0.250 0.000 0.283  0.00

Final energy, eV/atom: -5.19
Density of states at the Fermi level, states/eV/cell: 37.9
Crystal system: hexagonal


## Th6AgC4 (PBE)

Data for Th6AgC4 after structural relaxation.

Cell lengths 3.798, 6.592, 20.063 Å; angles 90.00, 90.00, 106.74 degrees
Element x y z (fractional)
Th: 0.500 0.000 0.000
Th: 0.500 0.000 0.500
Th: 0.043 0.086 0.352
Th: 0.957 0.914 0.648
Th: 0.957 0.914 0.852
Th: 0.043 0.086 0.148
Th: 0.776 0.553 0.422
Th: 0.224 0.447 0.578
Th: 0.224 0.447 0.922
Th: 0.776 0.553 0.078
Th: 0.357 0.715 0.250
Th: 0.643 0.285 0.750
Ag: 0.665 0.331 0.250
Ag: 0.335 0.669 0.750
C: 0.858 0.715 0.539
C: 0.417 0.834 0.124
C: 0.142 0.285 0.461
C: 0.583 0.166 0.876
C: 0.858 0.715 0.961
C: 0.142 0.285 0.039
C: 0.583 0.166 0.624
C: 0.417 0.834 0.376

Final energy, eV/atom: -7.92
Density of states at the Fermi level, states/eV/cell: 17.6
Crystal system: orthorhombic


## Tb5DyTm5 (PBE)

Data for Tb5DyTm5 after structural relaxation.

Cell lengths 5.845, 9.794, 6.902 Å; angles 110.53, 90.00, 107.36 degrees
Last column: magnetic moment on the atom in μB.
Element x y z (fractional)
Tb: 0.822 0.643 0.067  0.02
Tb: 0.822 0.643 0.576  0.02
Tb: 0.500 0.000 0.000  0.25
Tb: 0.178 0.357 0.424  0.02
Tb: 0.178 0.357 0.933  0.02
Dy: 0.000 0.000 0.000  0.23
Tm: 0.669 0.337 0.169  0.04
Tm: 0.623 0.246 0.624  0.02
Tm: 0.000 0.000 0.500  0.03
Tm: 0.377 0.754 0.376  0.02
Tm: 0.331 0.663 0.831  0.04

Density of states at the Fermi level, states/eV/cell: 17.9
Excess energy over the best structure of this formula in the dataset, eV/atom: 0.1339
Crystal system: monoclinic


## Ti5CoRe4 (PBE)

Data for Ti5CoRe4 after structural relaxation.

Cell lengths 3.099, 3.099, 15.428 Å; angles 90.00, 90.00, 90.00 degrees
Last column: magnetic moment on the atom in μB.
Element x y z (fractional)
Ti: 0.500 0.500 0.096  -0.07
Ti: 0.500 0.500 0.296  -0.01
Ti: 0.500 0.500 0.500  0.00
Ti: 0.500 0.500 0.704  -0.01
Ti: 0.500 0.500 0.904  -0.07
Co: 0.000 0.000 0.000  0.43
Re: 0.000 0.000 0.194  0.01
Re: 0.000 0.000 0.399  0.00
Re: 0.000 0.000 0.601  0.00
Re: 0.000 0.000 0.806  0.01

Final energy, eV/atom: -10.04
Density of states at the Fermi level, states/eV/cell: 8.0
Crystal system: tetragonal


## ScBeP (PBE)

Data for ScBeP after structural relaxation.

Cell lengths 5.068, 5.068, 5.068 Å; angles 142.52, 146.52, 51.12 degrees
Last column: magnetic moment on the atom in μB.
Element x y z (fractional)
Sc: 0.333 0.333 0.000  0.07
P: 0.630 0.630 0.000  0.00
Be: 0.037 0.037 0.000  0.00

Density of states at the Fermi level, states/eV/cell: 1.9
Excess energy over the best structure of this formula in the dataset, eV/atom: 0.6601
Crystal system: orthorhombic


## Nd4MgIn4 (PBE)

Data for Nd4MgIn4 after structural relaxation.

Cell lengths 6.231, 9.127, 9.127 Å; angles 90.00, 90.00, 90.00 degrees
Element x y z (fractional)
Nd: 0.359 0.429 0.824
Nd: 0.859 0.676 0.929
Nd: 0.359 0.571 0.176
Nd: 0.141 0.071 0.676
Nd: 0.641 0.824 0.571
Nd: 0.141 0.929 0.324
Nd: 0.859 0.324 0.071
Nd: 0.641 0.176 0.429
Mg: 0.000 0.000 0.000
Mg: 0.500 0.500 0.500
In: 0.636 0.910 0.192
In: 0.636 0.090 0.808
In: 0.136 0.692 0.590
In: 0.864 0.410 0.692
In: 0.864 0.590 0.308
In: 0.364 0.192 0.090
In: 0.364 0.808 0.910
In: 0.136 0.308 0.410

Final energy, eV/atom: -3.87
Density of states at the Fermi level, states/eV/cell: 11.5
Crystal system: tetragonal


- The highest density of states at the Fermi level belongs to which entry?
  Ce3YPb5